## TaCd2OsCl (PBE-GGA)

Data for TaCd2OsCl after structural relaxation.

Results
**V**: 30.0 Å³/atom
**Calculated total energy**: -20.39 eV per cell
**Raw formation energy**: 615 kJ/mol of formula units

Cell lengths 5.6792, 5.6792, 4.6438 Å; angles 90.00, 90.00, 90.00 degrees
Space group P4/mmm (No. 123)
Unique sites:
Ta (0.0000, 0.0000, 0.0000) x1
Cd (0.0000, 0.5000, 0.0000) x2
Os (0.0000, 0.0000, 0.5000) x1
Cl (0.5000, 0.5000, 0.5000) x1

***

## Zn3Ni5 (PBE-GGA)

Data for Zn3Ni5 after structural relaxation.

Results
**V**: 12.1 Å³/atom
**Calculated total energy**: -132.56 eV per cell
**Formation enthalpy at 0 K**: -51 meV/atom

Cell lengths 4.6033, 12.9803, 6.8659 Å; angles 90.00, 109.56, 90.00 degrees
Space group C2/m (No. 12)
Unique sites:
Zn (0.0000, 0.1739, 0.0000) x4
Zn (0.0000, 0.2502, 0.5000) x4
Zn (0.1737, 0.5000, 0.3470) x4
Ni (0.0971, 0.3333, 0.1935) x8
Ni (0.1671, 0.0970, 0.3345) x8
Ni (0.2502, 0.0000, 0.0008) x4